Dy2Ho6Tm3Th: optimized geometry, PBE.

Properties
* E_tot: -4.7647 eV/atom
* crystal system: monoclinic
* total magnetization: 0.0 μB per formula unit

```
Dy2Ho6Tm3Th
1.0
-4.3351 -3.0907 2.9902
0.9349 -1.0392 -5.9441
8.7837 -6.8068 3.6182
Dy Ho Tm Th
2 6 3 1
Direct
0.3333 0.6667 0.0000
0.6667 0.3333 0.0000
0.9155 0.5851 0.7490
0.7543 0.7543 0.2510
0.0845 0.4149 0.2510
0.5851 0.9155 0.7490
0.2457 0.2457 0.7490
0.4149 0.0845 0.2510
0.1673 0.8327 0.5000
0.8327 0.1673 0.5000
0.5000 0.5000 0.5000
0.0000 0.0000 0.0000
```

Mo2RuCl: optimized geometry, PBE.

Properties
* polymorph energy (0 for the lowest one): 0.254 eV/atom
* E_tot: -7.7242 eV/atom
* crystal system: orthorhombic
* total magnetization: 0.0 μB per formula unit
* energy relative to the elements, uncorrected: 1.89 eV per formula unit

```
Mo2RuCl
1.0
-3.6603 2.6754 2.7389
0.5347 0.4996 5.2461
1.9336 0.9206 -4.8447
Cl Mo Ru
1 2 1
Direct
0.2471 0.7471 0.5000
0.0274 0.0274 0.0000
0.7405 0.2405 0.5000
0.4850 0.4850 0.0000
```

Er5InHg2: optimized geometry, PBE.

Properties
* E_tot: -3.6332 eV/atom
* crystal system: tetragonal
* total magnetization: 0.0 μB per formula unit

```
Er5InHg2
1.0
8.1933 0.0000 0.0000
0.0000 8.1933 0.0000
-4.0967 -4.0967 6.5045
Er In Hg
10 2 4
Direct
0.5038 0.6959 0.6997
0.8041 0.9962 0.3003
0.0000 0.0000 0.0000
0.5000 0.5000 0.0000
0.1959 0.0038 0.6997
0.6959 0.1959 0.6997
0.0038 0.5038 0.6997
0.3041 0.8041 0.3003
0.9962 0.4962 0.3003
0.4962 0.3041 0.3003
0.7500 0.7500 0.5000
0.2500 0.2500 0.5000
0.1398 0.3602 0.0000
0.6398 0.1398 0.0000
0.3602 0.8602 0.0000
0.8602 0.6398 0.0000
```